No. 1
VASP calculation (PBE-GGA) on a relaxed AcBOsN crystal.

Lattice parameters (Å, degrees): 3.8606 3.8606 8.1545 90.00 90.00 90.00
With the nearest neighbours (Å) after each atom.
Positions (direct):
Ac (0.2500, 0.2500, 0.1719)  5 N 2.72-2.73
Ac (0.7500, 0.7500, 0.8281)  5 N 2.72-2.73
B (0.2500, 0.2500, 0.6545)  1 N 1.50
B (0.7500, 0.7500, 0.3455)  1 N 1.50
Os (0.2500, 0.7500, 0.5000)  4 B 2.31
Os (0.7500, 0.2500, 0.5000)  4 B 2.31
N (0.2500, 0.2500, 0.8389)  1 B 1.50
N (0.7500, 0.7500, 0.1611)  1 B 1.50

Properties
M_tot = 0.0 μB/f.u.
formation energy without anion corrections = -0.741 eV per atom
DOS at the Fermi energy = 0.8 states/eV/f.u.

***

No. 2
VASP calculation (PBE-GGA) on a relaxed Ac2B2OsN6 crystal.

Lattice parameters (Å, degrees): 6.1224 6.1224 6.1224 51.81 51.81 51.81
With the nearest neighbours (Å) after each atom.
Positions (direct):
Ac (0.2269, 0.2269, 0.2269)  9 N 2.72-2.89, 1 B 2.90
Ac (0.7731, 0.7731, 0.7731)  9 N 2.72-2.89, 1 B 2.90
B (0.4096, 0.4096, 0.4096)  3 N 1.46
B (0.5904, 0.5904, 0.5904)  3 N 1.46
Os (0.0000, 0.0000, 0.0000)  6 N 2.02
N (0.2514, 0.2514, 0.7254)  1 B 1.46
N (0.2514, 0.7254, 0.2514)  1 B 1.46
N (0.2746, 0.7486, 0.7486)  1 B 1.46
N (0.7254, 0.2514, 0.2514)  1 B 1.46
N (0.7486, 0.2746, 0.7486)  1 B 1.46
N (0.7486, 0.7486, 0.2746)  1 B 1.46

Properties
M_tot = 0.0 μB/f.u.
formation energy without anion corrections = -0.719 eV per atom
DOS at the Fermi energy = 3.9 states/eV/f.u.

***

No. 3
VASP calculation (PBE-GGA) on a relaxed AcBP2N6 crystal.

Lattice parameters (Å, degrees): 7.0721 7.0721 5.5676 107.64 107.64 90.60
With the nearest neighbours (Å) after each atom.
Positions (direct):
Ac (0.1391, 0.8609, 0.7500)  4 N 2.50-2.51
Ac (0.8609, 0.1391, 0.2500)  4 N 2.50-2.51
B (0.2377, 0.7623, 0.2500)  4 N 1.51-1.56
B (0.7623, 0.2377, 0.7500)  4 N 1.51-1.56
P (0.2088, 0.3725, 0.8700)  4 N 1.60-1.66
P (0.3725, 0.2088, 0.3700)  4 N 1.60-1.66
P (0.6275, 0.7912, 0.6300)  4 N 1.60-1.66
P (0.7912, 0.6275, 0.1300)  4 N 1.60-1.66
N (0.0182, 0.7360, 0.2501)  1 B 1.56, 1 P 1.62
N (0.2345, 0.6110, 0.9898)  1 B 1.51, 1 P 1.60
N (0.2611, 0.3223, 0.5886)  2 P 1.65-1.66
N (0.2640, 0.9818, 0.2499)  1 B 1.56, 1 P 1.62
N (0.3223, 0.2611, 0.0886)  2 P 1.65-1.66
N (0.3890, 0.7655, 0.5102)  1 B 1.51, 1 P 1.60
N (0.6110, 0.2345, 0.4898)  1 B 1.51, 1 P 1.60
N (0.6777, 0.7389, 0.9114)  2 P 1.65-1.66
N (0.7360, 0.0182, 0.7501)  1 B 1.56, 1 P 1.62
N (0.7389, 0.6777, 0.4114)  2 P 1.65-1.66
N (0.7655, 0.3890, 0.0102)  1 B 1.51, 1 P 1.60
N (0.9818, 0.2640, 0.7499)  1 B 1.56, 1 P 1.62

Properties
M_tot = 0.0 μB/f.u.
formation energy without anion corrections = -0.446 eV per atom
DOS at the Fermi energy = 3.0 states/eV/f.u.

***

No. 4
VASP calculation (PBE-GGA) on a relaxed Ac3PaB2N6 crystal.

Lattice parameters (Å, degrees): 5.6629 5.6629 7.1644 90.00 90.00 120.00
With the nearest neighbours (Å) after each atom.
Positions (direct):
Ac (0.0000, 0.0000, 0.0000)  6 N 2.82
Ac (0.3333, 0.6667, 0.6917)  9 N 2.84-3.14, 1 B 2.94
Ac (0.6667, 0.3333, 0.3083)  9 N 2.84-3.14, 1 B 2.94
Pa (0.0000, 0.0000, 0.5000)  6 N 2.28
B (0.3333, 0.6667, 0.2806)  3 N 1.48
B (0.6667, 0.3333, 0.7194)  3 N 1.48
N (0.1831, 0.3662, 0.3040)  1 B 1.48
N (0.1831, 0.8169, 0.3040)  1 B 1.48
N (0.3662, 0.1831, 0.6960)  1 B 1.48
N (0.6338, 0.8169, 0.3040)  1 B 1.48
N (0.8169, 0.1831, 0.6960)  1 B 1.48
N (0.8169, 0.6338, 0.6960)  1 B 1.48

Properties
M_tot = 0.0 μB/f.u.
formation energy without anion corrections = -1.179 eV per atom
DOS at the Fermi energy = 3.1 states/eV/f.u.

***

No. 5
VASP calculation (PBE-GGA) on a relaxed Ac2PaB2N6 crystal.

Lattice parameters (Å, degrees): 5.7042 5.7042 5.7106 90.00 90.00 120.00
With the nearest neighbours (Å) after each atom.
Positions (direct):
Ac (0.3333, 0.6667, 0.2949)  2 B 2.79-2.92, 9 N 2.89-3.09
Ac (0.6667, 0.3333, 0.7051)  2 B 2.79-2.92, 9 N 2.89-3.09
Pa (0.0000, 0.0000, 0.0000)  6 N 2.26
B (0.3333, 0.6667, 0.7836)  3 N 1.45
B (0.6667, 0.3333, 0.2164)  3 N 1.45
N (0.1869, 0.3737, 0.7729)  1 B 1.45
N (0.1869, 0.8131, 0.7729)  1 B 1.45
N (0.3737, 0.1869, 0.2271)  1 B 1.45
N (0.6263, 0.8131, 0.7729)  1 B 1.45
N (0.8131, 0.1869, 0.2271)  1 B 1.45
N (0.8131, 0.6263, 0.2271)  1 B 1.45

Properties
M_tot = 0.0 μB/f.u.
formation energy without anion corrections = -1.135 eV per atom
DOS at the Fermi energy = 5.8 states/eV/f.u.

***

No. 6
VASP calculation (PBE-GGA) on a relaxed Ac3B2PdN6 crystal.

Lattice parameters (Å, degrees): 5.5532 5.5532 6.7279 90.00 90.00 120.00
With the nearest neighbours (Å) after each atom.
Positions (direct):
Ac (0.0000, 0.0000, 0.0000)  6 N 2.56
Ac (0.3333, 0.6667, 0.6783)  1 B 2.69, 6 N 2.79
Ac (0.6667, 0.3333, 0.3217)  1 B 2.69, 6 N 2.79
B (0.3333, 0.6667, 0.2788)  3 N 1.48
B (0.6667, 0.3333, 0.7212)  3 N 1.48
Pd (0.0000, 0.0000, 0.5000)  6 N 2.27
N (0.1800, 0.3600, 0.2811)  1 B 1.48
N (0.1800, 0.8200, 0.2811)  1 B 1.48
N (0.3600, 0.1800, 0.7189)  1 B 1.48
N (0.6400, 0.8200, 0.2811)  1 B 1.48
N (0.8200, 0.1800, 0.7189)  1 B 1.48
N (0.8200, 0.6400, 0.7189)  1 B 1.48

Properties
M_tot = 0.0 μB/f.u.
formation energy without anion corrections = -0.719 eV per atom
DOS at the Fermi energy = 1.3 states/eV/f.u.

***

No. 7
VASP calculation (PBE-GGA) on a relaxed AcPmB2N4 crystal.

Lattice parameters (Å, degrees): 5.6080 5.9147 6.7581 90.00 90.00 90.00
With the nearest neighbours (Å) after each atom.
Positions (direct):
Ac (0.0000, 0.0000, 0.0000)  8 N 2.72-2.76
Ac (0.5000, 0.5000, 0.5000)  8 N 2.72-2.76
Pm (0.0000, 0.0000, 0.5000)  4 N 2.53
Pm (0.5000, 0.5000, 0.0000)  4 N 2.53
B (0.0000, 0.5000, 0.2278)  2 N 1.35
B (0.0000, 0.5000, 0.7722)  2 N 1.35
B (0.5000, 0.0000, 0.2722)  2 N 1.35
B (0.5000, 0.0000, 0.7278)  2 N 1.35
N (0.1800, 0.3487, 0.7725)  1 B 1.35
N (0.1800, 0.6513, 0.2275)  1 B 1.35
N (0.3200, 0.1513, 0.2725)  1 B 1.35
N (0.3200, 0.8487, 0.7275)  1 B 1.35
N (0.6800, 0.1513, 0.7275)  1 B 1.35
N (0.6800, 0.8487, 0.2725)  1 B 1.35
N (0.8200, 0.3487, 0.2275)  1 B 1.35
N (0.8200, 0.6513, 0.7725)  1 B 1.35

Properties
M_tot = 0.0 μB/f.u.
formation energy without anion corrections = -1.115 eV per atom
DOS at the Fermi energy = 0.0 states/eV/f.u.

***

No. 8
VASP calculation (PBE-GGA) on a relaxed AcPrBN3 crystal.

Lattice parameters (Å, degrees): 5.8115 5.8115 6.4214 90.00 90.00 120.00
With the nearest neighbours (Å) after each atom.
Positions (direct):
Ac (0.3333, 0.6667, 0.2500)  6 N 2.91, 2 B 3.21
Ac (0.6667, 0.3333, 0.7500)  6 N 2.91, 2 B 3.21
Pr (0.0000, 0.0000, 0.0000)  6 N 2.47
Pr (0.0000, 0.0000, 0.5000)  6 N 2.47
B (0.3333, 0.6667, 0.7500)  3 N 1.47
B (0.6667, 0.3333, 0.2500)  3 N 1.47
N (0.1871, 0.3742, 0.7500)  1 B 1.47
N (0.1871, 0.8129, 0.7500)  1 B 1.47
N (0.3742, 0.1871, 0.2500)  1 B 1.47
N (0.6258, 0.8129, 0.7500)  1 B 1.47
N (0.8129, 0.1871, 0.2500)  1 B 1.47
N (0.8129, 0.6258, 0.2500)  1 B 1.47

Properties
M_tot = 0.0 μB/f.u.
formation energy without anion corrections = -1.103 eV per atom
DOS at the Fermi energy = 0.0 states/eV/f.u.

***

No. 9
VASP calculation (PBE-GGA) on a relaxed Ac3PrB2N6 crystal.

Lattice parameters (Å, degrees): 5.8443 5.8443 6.7295 90.00 90.00 120.00
With the nearest neighbours (Å) after each atom.
Positions (direct):
Ac (0.0000, 0.0000, 0.0000)  6 N 2.65
Ac (0.3333, 0.6667, 0.6740)  1 B 2.83, 9 N 2.95-3.07
Ac (0.6667, 0.3333, 0.3260)  1 B 2.83, 9 N 2.95-3.07
Pr (0.0000, 0.0000, 0.5000)  6 N 2.44
B (0.3333, 0.6667, 0.2535)  3 N 1.47
B (0.6667, 0.3333, 0.7465)  3 N 1.47
N (0.1883, 0.3767, 0.2725)  1 B 1.47
N (0.1883, 0.8117, 0.2725)  1 B 1.47
N (0.3767, 0.1883, 0.7275)  1 B 1.47
N (0.6233, 0.8117, 0.2725)  1 B 1.47
N (0.8117, 0.1883, 0.7275)  1 B 1.47
N (0.8117, 0.6233, 0.7275)  1 B 1.47

Properties
M_tot = 0.0 μB/f.u.
formation energy without anion corrections = -1.084 eV per atom
DOS at the Fermi energy = 0.2 states/eV/f.u.

***

No. 10
VASP calculation (PBE-GGA) on a relaxed AcPrBN2 crystal.

Lattice parameters (Å, degrees): 3.9367 4.2127 6.1274 90.00 105.60 90.00
With the nearest neighbours (Å) after each atom.
Positions (direct):
Ac (0.0000, 0.0000, 0.0000)  4 N 2.68-2.70
Pr (0.0000, 0.5000, 0.5000)  4 N 2.65, 4 B 2.88
B (0.5000, 0.0000, 0.5000)  2 N 1.38
N (0.3737, 0.0000, 0.6900)  1 B 1.38
N (0.6263, 0.0000, 0.3100)  1 B 1.38

Properties
M_tot = 0.3 μB/f.u.
formation energy without anion corrections = -0.816 eV per atom
DOS at the Fermi energy = 3.1 states/eV/f.u.

***

No. 11
VASP calculation (PBE-GGA) on a relaxed AcPuBN3 crystal.

Lattice parameters (Å, degrees): 5.7238 5.7238 6.1794 90.00 90.00 120.00
With the nearest neighbours (Å) after each atom.
Positions (direct):
Ac (0.3333, 0.6667, 0.2500)  6 N 2.87, 2 B 3.09
Ac (0.6667, 0.3333, 0.7500)  6 N 2.87, 2 B 3.09
Pu (0.0000, 0.0000, 0.0000)  6 N 2.40
Pu (0.0000, 0.0000, 0.5000)  6 N 2.40
B (0.3333, 0.6667, 0.7500)  3 N 1.47
B (0.6667, 0.3333, 0.2500)  3 N 1.47
N (0.1846, 0.3692, 0.7500)  1 B 1.47
N (0.1846, 0.8154, 0.7500)  1 B 1.47
N (0.3692, 0.1846, 0.2500)  1 B 1.47
N (0.6308, 0.8154, 0.7500)  1 B 1.47
N (0.8154, 0.1846, 0.2500)  1 B 1.47
N (0.8154, 0.6308, 0.2500)  1 B 1.47

Properties
M_tot = 5.0 μB/f.u.
formation energy without anion corrections = -1.082 eV per atom
DOS at the Fermi energy = 5.8 states/eV/f.u.

***

No. 12
VASP calculation (PBE-GGA) on a relaxed Ac2PuB2N6 crystal.

Lattice parameters (Å, degrees): 6.4121 6.4121 6.4121 50.78 50.78 50.78
With the nearest neighbours (Å) after each atom.
Positions (direct):
Ac (0.2231, 0.2231, 0.2231)  9 N 2.80-2.94
Ac (0.7769, 0.7769, 0.7769)  9 N 2.80-2.94
Pu (0.0000, 0.0000, 0.0000)  6 N 2.17
B (0.4141, 0.4141, 0.4141)  3 N 1.47
B (0.5859, 0.5859, 0.5859)  3 N 1.47
N (0.2589, 0.2589, 0.7220)  1 B 1.47
N (0.2589, 0.7220, 0.2589)  1 B 1.47
N (0.2780, 0.7411, 0.7411)  1 B 1.47
N (0.7220, 0.2589, 0.2589)  1 B 1.47
N (0.7411, 0.2780, 0.7411)  1 B 1.47
N (0.7411, 0.7411, 0.2780)  1 B 1.47

Properties
M_tot = 2.0 μB/f.u.
formation energy without anion corrections = -1.074 eV per atom
DOS at the Fermi energy = 5.8 states/eV/f.u.

***

Q: What is the formula in the eleventh record?
A: AcPuBN3

***

Q: The highest formation energy without anion corrections belongs to which entry?
A: AcBP2N6

***

Q: Look up the DOS at the Fermi energy of the fifth one.
A: 5.8 states/eV/f.u.